A relaxed structure of Tb2MgTcC, computed with GGA-PBE.

Cell lengths 5.0467, 5.0467, 4.0128 Å; angles 90.00, 90.00, 90.00 degrees
Sites, in units of the cell vectors:
Tb 0.0000 0.5000 0.0000
Tb 0.5000 0.0000 0.0000
Mg 0.0000 0.0000 0.5000
Tc 0.5000 0.5000 0.5000
C 0.5000 0.5000 0.0000

## Properties
formation energy = -0.213 eV/atom
calculated volume = 20.4 A^3/atom
Fermi-level density of states = 3.1 states/eV per cell
ρ = 7.3 g cm⁻³
total moment = 0.00 μB/f.u.
symmetry = P4/mmm (123)

A relaxed structure of Tb2TmMgC, computed with GGA-PBE.

Cell lengths 5.0405, 5.0405, 4.8289 Å; angles 90.00, 90.00, 90.00 degrees
Sites, in units of the cell vectors:
Tb 0.0000 0.5000 0.0000
Tb 0.5000 0.0000 0.0000
Tm 0.0000 0.0000 0.5000
Mg 0.5000 0.5000 0.5000
C 0.0000 0.0000 0.0000

## Properties
formation energy = -0.186 eV/atom
calculated volume = 24.5 A^3/atom
Fermi-level density of states = 6.4 states/eV per cell
ρ = 7.1 g cm⁻³
total moment = 0.00 μB/f.u.
symmetry = P4/mmm (123)

A relaxed structure of Tb2YMgC, computed with GGA-PBE.

Cell lengths 5.0182, 5.0182, 4.9676 Å; angles 90.00, 90.00, 90.00 degrees
Sites, in units of the cell vectors:
Tb 0.0000 0.5000 0.0000
Tb 0.5000 0.0000 0.0000
Y 0.0000 0.0000 0.5000
Mg 0.5000 0.5000 0.5000
C 0.0000 0.0000 0.0000

## Properties
formation energy = -0.179 eV/atom
calculated volume = 25.0 A^3/atom
Fermi-level density of states = 6.4 states/eV per cell
ρ = 5.9 g cm⁻³
total moment = 0.65 μB/f.u.
symmetry = P4/mmm (123)

A relaxed structure of Mg2TcC, computed with GGA-PBE.

Cell lengths 8.0183, 8.0183, 4.0445 Å; angles 90.00, 90.00, 90.00 degrees
Sites, in units of the cell vectors:
Mg 0.1159 0.2500 0.1250
Mg 0.2500 0.6159 0.3750
Mg 0.2500 0.8841 0.8750
Mg 0.3841 0.2500 0.6250
Mg 0.6159 0.7500 0.6250
Mg 0.7500 0.1159 0.8750
Mg 0.7500 0.3841 0.3750
Mg 0.8841 0.7500 0.1250
Tc 0.0000 0.0000 0.5000
Tc 0.0000 0.5000 0.7500
Tc 0.5000 0.0000 0.2500
Tc 0.5000 0.5000 0.0000
C 0.0000 0.0000 0.0000
C 0.0000 0.5000 0.2500
C 0.5000 0.0000 0.7500
C 0.5000 0.5000 0.5000

## Properties
formation energy = 0.514 eV/atom
calculated volume = 16.3 A^3/atom
Fermi-level density of states = 11.1 states/eV per cell
ρ = 4.1 g cm⁻³
total moment = 0.00 μB/f.u.
symmetry = I-42d (122)

A relaxed structure of MgTc3C, computed with GGA-PBE.

Cell lengths 4.4638, 4.4638, 4.4638 Å; angles 90.00, 90.00, 90.00 degrees
Sites, in units of the cell vectors:
Mg 0.0000 0.0000 0.0000
Tc 0.0000 0.0000 0.5000
Tc 0.0000 0.5000 0.0000
Tc 0.5000 0.0000 0.0000
C 0.5000 0.5000 0.5000

## Properties
formation energy = 3.389 eV/atom
calculated volume = 17.8 A^3/atom
Fermi-level density of states = 8.0 states/eV per cell
ρ = 6.2 g cm⁻³
total moment = 0.00 μB/f.u.
symmetry = Pm-3m (221)

A relaxed structure of MgTcC, computed with GGA-PBE.

Cell lengths 4.9926, 3.1086, 5.3881 Å; angles 90.00, 104.57, 90.00 degrees
Sites, in units of the cell vectors:
Mg 0.1887 0.0000 0.2793
Mg 0.8113 0.0000 0.7207
Tc 0.3113 0.5000 0.7627
Tc 0.6887 0.5000 0.2373
C 0.5000 0.0000 0.0000
C 0.5000 0.5000 0.5000

## Properties
formation energy = 0.134 eV/atom
calculated volume = 13.5 A^3/atom
Fermi-level density of states = 2.3 states/eV per cell
ρ = 5.5 g cm⁻³
total moment = 0.00 μB/f.u.
symmetry = P2/m (10)

A relaxed structure of MgTcC, computed with GGA-PBE.

Cell lengths 3.4225, 3.4225, 4.1585 Å; angles 90.00, 90.00, 120.00 degrees
Sites, in units of the cell vectors:
Mg 0.0000 0.0000 0.0000
Tc 0.6667 0.3333 0.5000
C 0.3333 0.6667 0.5000

## Properties
formation energy = 0.195 eV/atom
calculated volume = 14.1 A^3/atom
Fermi-level density of states = 0.5 states/eV per cell
ρ = 5.3 g cm⁻³
total moment = 0.00 μB/f.u.
symmetry = P-6m2 (187)

A relaxed structure of MgTc2C, computed with GGA-PBE.

Cell lengths 5.8447, 5.8447, 5.8447 Å; angles 90.00, 90.00, 90.00 degrees
Sites, in units of the cell vectors:
Mg 0.0000 0.0000 0.0000
Mg 0.0000 0.5000 0.5000
Mg 0.5000 0.0000 0.5000
Mg 0.5000 0.5000 0.0000
Tc 0.2500 0.2500 0.2500
Tc 0.2500 0.2500 0.7500
Tc 0.2500 0.7500 0.2500
Tc 0.2500 0.7500 0.7500
Tc 0.7500 0.2500 0.2500
Tc 0.7500 0.2500 0.7500
Tc 0.7500 0.7500 0.2500
Tc 0.7500 0.7500 0.7500
C 0.0000 0.0000 0.5000
C 0.0000 0.5000 0.0000
C 0.5000 0.0000 0.0000
C 0.5000 0.5000 0.5000

## Properties
formation energy = 1.356 eV/atom
calculated volume = 12.5 A^3/atom
Fermi-level density of states = 19.5 states/eV per cell
ρ = 7.7 g cm⁻³
total moment = 0.00 μB/f.u.
symmetry = Fm-3m (225)

A relaxed structure of MgTc2C, computed with GGA-PBE.

Cell lengths 3.0188, 3.0188, 22.8673 Å; angles 90.00, 90.00, 120.00 degrees
Sites, in units of the cell vectors:
Mg 0.0000 0.0000 0.0000
Mg 0.3333 0.6667 0.6667
Mg 0.6667 0.3333 0.3333
Tc 0.0000 0.0000 0.1174
Tc 0.0000 0.0000 0.8826
Tc 0.3333 0.6667 0.5493
Tc 0.3333 0.6667 0.7841
Tc 0.6667 0.3333 0.2159
Tc 0.6667 0.3333 0.4507
C 0.0000 0.0000 0.5000
C 0.3333 0.6667 0.1667
C 0.6667 0.3333 0.8333

## Properties
formation energy = 0.392 eV/atom
calculated volume = 15.0 A^3/atom
Fermi-level density of states = 11.2 states/eV per cell
ρ = 6.4 g cm⁻³
total moment = 0.00 μB/f.u.
symmetry = R-3m (166)

A relaxed structure of Mg3TcC, computed with GGA-PBE.

Cell lengths 4.9492, 4.9492, 4.9492 Å; angles 90.00, 90.00, 90.00 degrees
Sites, in units of the cell vectors:
Mg 0.0000 0.0000 0.5000
Mg 0.0000 0.5000 0.0000
Mg 0.5000 0.0000 0.0000
Tc 0.0000 0.0000 0.0000
C 0.5000 0.5000 0.5000

## Properties
formation energy = 2.069 eV/atom
calculated volume = 24.2 A^3/atom
Fermi-level density of states = 5.3 states/eV per cell
ρ = 2.5 g cm⁻³
total moment = 0.00 μB/f.u.
symmetry = Pm-3m (221)

A relaxed structure of MgTc2C, computed with GGA-PBE.

Cell lengths 3.0159, 3.0159, 21.1278 Å; angles 90.00, 90.00, 120.00 degrees
Sites, in units of the cell vectors:
Mg 0.0000 0.0000 0.0000
Mg 0.3333 0.6667 0.6667
Mg 0.6667 0.3333 0.3333
Tc 0.0000 0.0000 0.5545
Tc 0.0000 0.0000 0.7800
Tc 0.3333 0.6667 0.2212
Tc 0.3333 0.6667 0.4466
Tc 0.6667 0.3333 0.1133
Tc 0.6667 0.3333 0.8878
C 0.0000 0.0000 0.1670
C 0.3333 0.6667 0.8337
C 0.6667 0.3333 0.5004

## Properties
formation energy = 0.140 eV/atom
calculated volume = 13.9 A^3/atom
Fermi-level density of states = 11.1 states/eV per cell
ρ = 7.0 g cm⁻³
total moment = 0.00 μB/f.u.
symmetry = R3m (160)

A relaxed structure of MgTc3C, computed with GGA-PBE.

Cell lengths 4.1072, 4.1072, 4.1072 Å; angles 90.00, 90.00, 90.00 degrees
Sites, in units of the cell vectors:
Mg 0.0000 0.0000 0.0000
Tc 0.0000 0.5000 0.5000
Tc 0.5000 0.0000 0.5000
Tc 0.5000 0.5000 0.0000
C 0.5000 0.5000 0.5000

## Properties
formation energy = 0.164 eV/atom
calculated volume = 13.9 A^3/atom
Fermi-level density of states = 5.4 states/eV per cell
ρ = 7.9 g cm⁻³
total moment = 0.00 μB/f.u.
symmetry = Pm-3m (221)